{
  "formula": "BaGd2Ni2",
  "functional": "PBE",
  "state": "optimized geometry",
  "vol_a3_per_cell": 145.4,
  "energy_ev_per_atom": -4.545,
  "lattice_angstrom": [[3.9732, -2.2940, 0.0000], [3.9732, 2.2940, 0.0000], [-0.0014, 0.0000, 7.9739]],
  "species": ["Ba", "Gd", "Ni", "Gd", "Ni"],
  "fractional_positions": [[0.5000, 0.5000, 0.0000], [0.1667, 0.1667, 0.6354], [0.8334, 0.8334, 0.7254], [0.8333, 0.8333, 0.3646], [0.1666, 0.1666, 0.2746]]
}

***

{
  "formula": "BaGdSi4Ni2",
  "functional": "PBE",
  "state": "optimized geometry",
  "vol_a3_per_cell": 147.4,
  "energy_ev_per_atom": -5.503,
  "lattice_angstrom": [[4.0682, 0.0000, 0.0000], [0.0000, 2.1053, 8.6026], [0.0000, -2.1053, 8.6026]],
  "species": ["Si", "Ni", "Ni", "Ba", "Si", "Si", "Gd", "Si"],
  "fractional_positions": [[0.5000, 0.7561, 0.7561], [0.0000, 0.8215, 0.8215], [0.5000, 0.1878, 0.1878], [0.0000, 0.6061, 0.6061], [0.0000, 0.2559, 0.2559], [0.0000, 0.9525, 0.9525], [0.5000, 0.3894, 0.3894], [0.5000, 0.0307, 0.0307]]
}

***

{
  "formula": "BaGdO3",
  "functional": "PBE",
  "state": "optimized geometry",
  "vol_a3_per_cell": 183.2,
  "energy_ev_per_atom": -6.922,
  "lattice_angstrom": [[5.6830, -0.8599, -2.3054], [3.8138, -4.1165, 2.6191], [1.2160, -5.5900, -3.2352]],
  "species": ["O", "O", "Ba", "O", "O", "Gd", "O", "Ba", "O", "Gd"],
  "fractional_positions": [[0.9850, 0.5474, 0.2744], [0.1932, 0.9850, 0.2744], [0.6296, 0.6296, 0.1112], [0.0150, 0.4526, 0.7256], [0.4526, 0.8068, 0.7256], [0.1511, 0.1511, 0.5467], [0.8068, 0.0150, 0.7256], [0.3704, 0.3704, 0.8888], [0.5474, 0.1932, 0.2744], [0.8489, 0.8489, 0.4533]]
}

***

{
  "formula": "BaGdPb2O6",
  "functional": "PBE",
  "state": "optimized geometry",
  "vol_a3_per_cell": 158.3,
  "energy_ev_per_atom": -6.006,
  "lattice_angstrom": [[-3.3974, 0.8719, 2.4337], [0.1987, -3.9190, 1.6815], [5.2440, 2.9529, 6.2626]],
  "species": ["Pb", "O", "O", "Ba", "O", "O", "O", "Pb", "O", "Gd"],
  "fractional_positions": [[0.5000, 0.5000, 0.2435], [0.5000, 0.5000, 0.5000], [0.5000, 0.0000, 0.2061], [0.0000, 0.0000, 0.5000], [0.0000, 0.5000, 0.7939], [0.5000, 0.0000, 0.7939], [0.5000, 0.5000, 0.0000], [0.5000, 0.5000, 0.7565], [0.0000, 0.5000, 0.2061], [0.0000, 0.0000, 0.0000]]
}

***

{
  "formula": "BaGdTeO",
  "functional": "PBE",
  "state": "optimized geometry",
  "vol_a3_per_cell": 243.5,
  "energy_ev_per_atom": -5.508,
  "lattice_angstrom": [[-4.3572, -2.5350, 1.4842], [-0.3150, 4.9146, -1.8333], [-2.4745, -6.0837, -8.3524]],
  "species": ["Te", "Gd", "O", "O", "Gd", "Te", "Ba", "Ba"],
  "fractional_positions": [[0.8871, 0.1129, 0.3386], [0.7802, 0.2198, 0.6593], [0.2888, 0.7112, 0.1337], [0.7112, 0.2888, 0.8663], [0.2198, 0.7802, 0.3407], [0.1129, 0.8871, 0.6614], [0.3738, 0.6262, 0.8786], [0.6262, 0.3738, 0.1214]]
}

***

{
  "formula": "BaGdOs",
  "functional": "PBE",
  "state": "optimized geometry",
  "vol_a3_per_cell": 89.0,
  "energy_ev_per_atom": -5.527,
  "lattice_angstrom": [[0.0000, 3.5432, 3.5432], [3.5432, 0.0000, 3.5432], [3.5432, 3.5432, 0.0000]],
  "species": ["Os", "Gd", "Ba"],
  "fractional_positions": [[0.0000, 0.0000, 0.0000], [0.7500, 0.7500, 0.7500], [0.2500, 0.2500, 0.2500]]
}

***

{
  "formula": "Ba2GdOsSe6",
  "functional": "PBE",
  "state": "optimized geometry",
  "vol_a3_per_cell": 283.5,
  "energy_ev_per_atom": -5.193,
  "lattice_angstrom": [[-0.6943, -2.1938, -6.8646], [3.1878, -6.2076, -2.0706], [-4.3530, -5.7353, -1.4102]],
  "species": ["Se", "Se", "Os", "Se", "Se", "Gd", "Ba", "Ba", "Se", "Se"],
  "fractional_positions": [[0.6941, 0.2786, 0.7979], [0.3059, 0.7214, 0.2021], [0.5000, 0.0000, 0.0000], [0.2744, 0.1585, 0.3121], [0.2104, 0.2675, 0.8174], [0.0000, 0.5000, 0.5000], [0.7491, 0.2546, 0.2452], [0.2509, 0.7454, 0.7548], [0.7256, 0.8415, 0.6879], [0.7896, 0.7325, 0.1826]]
}

***

{
  "formula": "Ba2GdOsSe6",
  "functional": "PBE",
  "state": "optimized geometry",
  "vol_a3_per_cell": 283.6,
  "energy_ev_per_atom": -5.194,
  "lattice_angstrom": [[2.1577, -3.4718, 6.2345], [4.9804, 5.2678, 1.7387], [-7.1519, 1.6177, -1.3457]],
  "species": ["Os", "Ba", "Se", "Ba", "Gd", "Se", "Se", "Se", "Se", "Se"],
  "fractional_positions": [[0.5000, 0.5000, 0.0000], [0.2500, 0.7500, 0.5000], [0.1981, 0.3307, 0.5288], [0.7500, 0.2500, 0.5000], [0.0000, 0.0000, 0.0000], [0.3307, 0.8019, 0.1326], [0.8019, 0.6693, 0.4712], [0.2645, 0.2645, 0.0000], [0.7355, 0.7355, 0.0000], [0.6693, 0.1981, 0.8674]]
}

***

{
  "formula": "BaGd2P4",
  "functional": "PBE",
  "state": "optimized geometry",
  "vol_a3_per_cell": 376.8,
  "energy_ev_per_atom": -5.242,
  "lattice_angstrom": [[0.0000, 5.5433, 11.5602], [2.9399, 0.0000, 11.5602], [2.9399, 5.5433, 0.0000]],
  "species": ["P", "P", "Gd", "P", "P", "P", "Ba", "Gd", "P", "Ba", "Gd", "P", "Gd", "P"],
  "fractional_positions": [[0.3240, 0.7676, 0.0675], [0.8409, 0.0675, 0.7676], [0.3712, 0.3712, 0.1288], [0.7676, 0.3240, 0.8409], [0.9260, 0.4824, 0.1825], [0.1825, 0.4091, 0.9260], [0.7500, 0.7500, 0.7500], [0.1288, 0.1288, 0.3712], [0.4824, 0.9260, 0.4091], [0.5000, 0.5000, 0.5000], [0.8788, 0.8788, 0.1212], [0.4091, 0.1825, 0.4824], [0.1212, 0.1212, 0.8788], [0.0675, 0.8409, 0.3240]]
}

***

{
  "formula": "BaGdPa",
  "functional": "PBE",
  "state": "optimized geometry",
  "vol_a3_per_cell": 121.0,
  "energy_ev_per_atom": -4.010,
  "lattice_angstrom": [[0.0000, 3.9258, 3.9258], [3.9258, 0.0000, 3.9258], [3.9258, 3.9258, 0.0000]],
  "species": ["Pa", "Ba", "Gd"],
  "fractional_positions": [[0.7500, 0.7500, 0.7500], [0.2500, 0.2500, 0.2500], [0.0000, 0.0000, 0.0000]]
}

***

{
  "formula": "BaPmGd",
  "functional": "PBE",
  "state": "optimized geometry",
  "vol_a3_per_cell": 141.6,
  "energy_ev_per_atom": -2.958,
  "lattice_angstrom": [[-1.3713, -3.1566, 4.7312], [-5.5901, -1.3129, 1.1212], [-1.8899, -5.5041, -0.6026]],
  "species": ["Ba", "Pm", "Gd"],
  "fractional_positions": [[0.2500, 0.2500, 0.2500], [0.0000, 0.0000, 0.0000], [0.7500, 0.7500, 0.7500]]
}

***

{
  "formula": "BaPrGd",
  "functional": "PBE",
  "state": "optimized geometry",
  "vol_a3_per_cell": 144.1,
  "energy_ev_per_atom": -2.969,
  "lattice_angstrom": [[-0.2051, -5.8802, -0.1033], [4.9736, -3.1244, 0.3620], [1.1967, -3.0720, 4.8745]],
  "species": ["Ba", "Pr", "Gd"],
  "fractional_positions": [[0.2500, 0.2500, 0.2500], [0.0000, 0.0000, 0.0000], [0.7500, 0.7500, 0.7500]]
}

***

{
  "formula": "RbBaGd",
  "functional": "PBE",
  "state": "optimized geometry",
  "vol_a3_per_cell": 197.4,
  "energy_ev_per_atom": -1.509,
  "lattice_angstrom": [[0.0000, 4.6211, 4.6211], [4.6211, 0.0000, 4.6211], [4.6211, 4.6211, 0.0000]],
  "species": ["Rb", "Gd", "Ba"],
  "fractional_positions": [[0.7500, 0.7500, 0.7500], [0.2500, 0.2500, 0.2500], [0.0000, 0.0000, 0.0000]]
}

***

{
  "formula": "RbBaGdS3",
  "functional": "PBE",
  "state": "optimized geometry",
  "vol_a3_per_cell": 503.0,
  "energy_ev_per_atom": -4.956,
  "lattice_angstrom": [[9.0529, 2.6691, -3.8224], [-10.1523, 0.0621, 0.7852], [0.6610, 8.9804, 7.8363]],
  "species": ["S", "S", "S", "Rb", "S", "Ba", "S", "S", "Gd", "Ba", "Rb", "Gd"],
  "fractional_positions": [[0.9081, 0.0919, 0.5031], [0.9081, 0.0919, 0.9969], [0.4976, 0.5024, 0.7500], [0.1253, 0.8747, 0.7500], [0.0919, 0.9081, 0.4969], [0.8923, 0.1077, 0.7500], [0.0919, 0.9081, 0.0031], [0.5024, 0.4976, 0.2500], [0.5000, 0.5000, 0.5000], [0.1077, 0.8923, 0.2500], [0.8747, 0.1253, 0.2500], [0.5000, 0.5000, 0.0000]]
}

***

{
  "formula": "RbBaGdS3",
  "functional": "PBE",
  "state": "optimized geometry",
  "vol_a3_per_cell": 981.9,
  "energy_ev_per_atom": -4.956,
  "lattice_angstrom": [[-9.1833, -7.0649, -2.9589], [2.5862, -2.3688, -2.3706], [3.7317, -11.2736, 15.3360]],
  "species": ["S", "S", "S", "S", "S", "S", "Rb", "Ba", "Gd", "S", "S", "Rb", "Ba", "Gd", "Rb", "Ba", "S", "Rb", "S", "Ba", "Gd", "S", "Gd", "S"],
  "fractional_positions": [[0.7236, 0.2500, 0.2472], [0.5299, 0.2500, 0.6557], [0.2236, 0.2500, 0.2528], [0.9701, 0.7500, 0.1557], [0.2764, 0.7500, 0.7528], [0.4763, 0.7500, 0.1557], [0.2228, 0.7500, 0.1220], [0.2231, 0.7500, 0.3607], [0.9736, 0.2500, 0.2500], [0.4701, 0.7500, 0.3443], [0.0237, 0.2500, 0.6557], [0.7772, 0.2500, 0.8780], [0.7231, 0.7500, 0.1393], [0.4736, 0.2500, 0.2500], [0.7228, 0.7500, 0.3780], [0.2769, 0.2500, 0.8607], [0.9763, 0.7500, 0.3443], [0.2772, 0.2500, 0.6220], [0.7764, 0.7500, 0.7472], [0.7769, 0.2500, 0.6393], [0.0264, 0.7500, 0.7500], [0.0299, 0.2500, 0.8443], [0.5264, 0.7500, 0.7500], [0.5237, 0.2500, 0.8443]]
}

***

{
  "formula": "RbBaGdSe3",
  "functional": "PBE",
  "state": "optimized geometry",
  "vol_a3_per_cell": 539.9,
  "energy_ev_per_atom": -4.554,
  "lattice_angstrom": [[-8.9469, 4.5296, 1.3686], [6.9785, -5.1134, -5.2527], [-4.8131, -10.7312, 4.0521]],
  "species": ["Se", "Se", "Gd", "Se", "Rb", "Se", "Se", "Se", "Rb", "Ba", "Ba", "Gd"],
  "fractional_positions": [[0.4019, 0.5981, 0.9975], [0.5981, 0.4019, 0.4975], [0.0000, 0.0000, 0.0000], [0.5981, 0.4019, 0.0025], [0.6323, 0.3677, 0.7500], [0.0010, 0.9990, 0.7500], [0.9990, 0.0010, 0.2500], [0.4019, 0.5981, 0.5025], [0.3677, 0.6323, 0.2500], [0.6093, 0.3907, 0.2500], [0.3907, 0.6093, 0.7500], [0.0000, 0.0000, 0.5000]]
}

***

{
  "formula": "RbBaGdSe3",
  "functional": "PBE",
  "state": "optimized geometry",
  "vol_a3_per_cell": 813.3,
  "energy_ev_per_atom": -4.760,
  "lattice_angstrom": [[-5.1426, 7.4260, 9.5750], [-3.5829, -2.5004, 0.0149], [5.9140, -8.4164, 9.7037]],
  "species": ["Se", "Se", "Se", "Ba", "Gd", "Se", "Se", "Rb", "Ba", "Ba", "Se", "Gd", "Rb", "Se", "Rb", "Se", "Se", "Se", "Gd", "Se", "Gd", "Ba", "Se", "Rb"],
  "fractional_positions": [[0.6216, 0.2500, 0.0996], [0.1399, 0.2500, 0.7478], [0.3601, 0.7500, 0.2478], [0.6280, 0.7500, 0.9163], [0.8525, 0.2500, 0.7439], [0.8601, 0.7500, 0.2522], [0.3711, 0.7500, 0.6250], [0.1178, 0.7500, 0.9290], [0.1280, 0.7500, 0.5837], [0.3720, 0.2500, 0.0837], [0.6289, 0.2500, 0.3750], [0.3525, 0.2500, 0.7561], [0.8822, 0.2500, 0.0710], [0.8711, 0.7500, 0.8750], [0.3822, 0.2500, 0.4290], [0.1216, 0.2500, 0.4004], [0.3784, 0.7500, 0.9004], [0.6399, 0.2500, 0.7522], [0.6475, 0.7500, 0.2439], [0.8784, 0.7500, 0.5996], [0.1475, 0.7500, 0.2561], [0.8720, 0.2500, 0.4163], [0.1289, 0.2500, 0.1250], [0.6178, 0.7500, 0.5710]]
}

***

{
  "formula": "RbBaGdTe3",
  "functional": "PBE",
  "state": "optimized geometry",
  "vol_a3_per_cell": 986.4,
  "energy_ev_per_atom": -4.278,
  "lattice_angstrom": [[-1.7095, -2.2053, 13.7654], [1.8632, -4.2486, -0.4493], [13.6890, 5.7263, 2.6174]],
  "species": ["Gd", "Te", "Te", "Te", "Ba", "Gd", "Rb", "Rb", "Te", "Rb", "Te", "Ba", "Te", "Te", "Te", "Gd", "Ba", "Ba", "Te", "Te", "Te", "Gd", "Te", "Rb"],
  "fractional_positions": [[0.6047, 0.7500, 0.7436], [0.3777, 0.7500, 0.4012], [0.1095, 0.2500, 0.2464], [0.1223, 0.2500, 0.9012], [0.6278, 0.7500, 0.4180], [0.1047, 0.7500, 0.7564], [0.3795, 0.2500, 0.9283], [0.6205, 0.7500, 0.0717], [0.3905, 0.7500, 0.7464], [0.1205, 0.7500, 0.4283], [0.8777, 0.7500, 0.0988], [0.8722, 0.2500, 0.9180], [0.6095, 0.2500, 0.2536], [0.6223, 0.2500, 0.5988], [0.8688, 0.7500, 0.3775], [0.8953, 0.2500, 0.2436], [0.3722, 0.2500, 0.5820], [0.1278, 0.7500, 0.0820], [0.8905, 0.7500, 0.7536], [0.3688, 0.7500, 0.1225], [0.6312, 0.2500, 0.8775], [0.3953, 0.2500, 0.2564], [0.1312, 0.2500, 0.6225], [0.8795, 0.2500, 0.5717]]
}

***

{
  "formula": "RbBaGdTe3",
  "functional": "PBE",
  "state": "optimized geometry",
  "vol_a3_per_cell": 680.9,
  "energy_ev_per_atom": -4.081,
  "lattice_angstrom": [[2.3393, -10.9178, 0.0000], [2.3393, 10.9178, 0.0000], [0.0000, 0.0000, 13.3301]],
  "species": ["Gd", "Te", "Te", "Te", "Ba", "Rb", "Te", "Te", "Rb", "Te", "Gd", "Ba"],
  "fractional_positions": [[0.5000, 0.5000, 0.0000], [0.4929, 0.5071, 0.2500], [0.0978, 0.9022, 0.4974], [0.9022, 0.0978, 0.5026], [0.1000, 0.9000, 0.2500], [0.8675, 0.1325, 0.2500], [0.5071, 0.4929, 0.7500], [0.9022, 0.0978, 0.9974], [0.1325, 0.8675, 0.7500], [0.0978, 0.9022, 0.0026], [0.5000, 0.5000, 0.5000], [0.9000, 0.1000, 0.7500]]
}

***

{
  "formula": "BaGdS2",
  "functional": "PBE",
  "state": "optimized geometry",
  "vol_a3_per_cell": 108.2,
  "energy_ev_per_atom": -5.541,
  "lattice_angstrom": [[-0.4468, -0.4001, 4.2070], [-3.7760, -1.8618, -0.5781], [2.6746, -5.3547, -0.2252]],
  "species": ["S", "S", "Gd", "Ba"],
  "fractional_positions": [[0.0000, 0.0000, 0.5000], [0.5000, 0.5000, 0.0000], [0.5000, 0.5000, 0.5000], [0.0000, 0.0000, 0.0000]]
}